1.
A relaxed NaPdF crystal, computed with PBE-GGA.

It has space group F-43m (No. 216), with a = 5.885 Å, b = 5.885 Å, c = 5.885 Å, α = 90.00°, β = 90.00° and γ = 90.00°. Symmetry generates all atoms from Na at (0.000, 0.000, 0.000), Pd at (0.000, 0.000, 0.500) and F at (0.250, 0.250, 0.250).

The calculation puts the uncorrected formation energy at -67 kJ/mol of atoms. Its calculated volume is 17.0 Å³ per atom.

2.
A relaxed Cu3Ni2Pd4 crystal, computed with PBE-GGA.

It has space group C2/m (No. 12), with a = 13.234 Å, b = 2.705 Å, c = 8.797 Å, α = 90.00°, β = 129.64° and γ = 90.00°. Symmetry generates all atoms from Cu at (0.000, 0.000, 0.000), Cu at (0.131, 0.500, 0.597), Ni at (0.208, 0.500, 0.070), Pd at (0.040, 0.000, 0.742) and Pd at (0.169, 0.500, 0.323).

The formation energy comes out at -0.01 eV/atom. Its calculated volume is 13.5 Å³ per atom.

3.
A relaxed Ca2Hg2Pb crystal, computed with PBE-GGA.

It has space group I4/mmm (No. 139), with a = 4.193 Å, b = 4.193 Å, c = 17.593 Å, α = 90.00°, β = 90.00° and γ = 90.00°. Symmetry generates all atoms from Ca at (0.000, 0.000, 0.104), Hg at (0.000, 0.500, 0.250) and Pb at (0.000, 0.000, 0.500).

The formation energy comes out at -0.33 eV/atom. Its calculated volume is 30.9 Å³ per atom.

4.
A relaxed PtIBrN2 crystal, computed with PBE-GGA.

It has space group P4/mmm (No. 123), with a = 3.874 Å, b = 3.874 Å, c = 8.553 Å, α = 90.00°, β = 90.00° and γ = 90.00°. Symmetry generates all atoms from Pt at (0.000, 0.000, 0.000), I at (0.500, 0.500, 0.000), Br at (0.500, 0.500, 0.500) and N at (0.000, 0.500, 0.500).

The calculation puts the uncorrected formation energy at 204 kJ/mol of atoms. Its calculated volume is 25.7 Å³ per atom.

5.
A relaxed Nb6Ir5Ru crystal, computed with PBE-GGA.

It has space group C2/m (No. 12), with a = 13.912 Å, b = 5.779 Å, c = 4.826 Å, α = 90.00°, β = 93.27° and γ = 90.00°. Symmetry generates all atoms from Nb at (0.000, 0.249, 0.000), Nb at (0.166, 0.250, 0.663), Ir at (0.000, 0.500, 0.500), Ir at (0.166, 0.500, 0.166), Ir at (0.168, 0.000, 0.163) and Ru at (0.000, 0.000, 0.500).

The formation energy comes out at -0.45 eV/atom. Its calculated volume is 16.1 Å³ per atom.

6.
A relaxed SrRu2Au crystal, computed with PBE-GGA.

It has space group I-4m2 (No. 119), with a = 4.451 Å, b = 4.451 Å, c = 7.664 Å, α = 90.00°, β = 90.00° and γ = 90.00°. Symmetry generates all atoms from Sr at (0.000, 0.000, 0.000), Ru at (0.000, 0.000, 0.500), Ru at (0.000, 0.500, 0.250) and Au at (0.000, 0.500, 0.750).

The formation energy comes out at 0.59 eV/atom. Its calculated volume is 19.0 Å³ per atom.

7.
A relaxed NdPuHgRu crystal, computed with PBE-GGA.

It has space group F-43m (No. 216), with a = 7.245 Å, b = 7.245 Å, c = 7.245 Å, α = 90.00°, β = 90.00° and γ = 90.00°. Symmetry generates all atoms from Nd at (0.000, 0.000, 0.000), Pu at (0.000, 0.000, 0.500), Hg at (0.250, 0.250, 0.750) and Ru at (0.250, 0.250, 0.250).

The formation energy comes out at -0.07 eV/atom. Its calculated volume is 23.8 Å³ per atom.

8.
A relaxed Li2MnCd crystal, computed with PBE-GGA.

It has space group Pmmm (No. 47), with a = 3.117 Å, b = 4.681 Å, c = 4.745 Å, α = 90.00°, β = 90.00° and γ = 90.00°. Symmetry generates all atoms from Li at (0.000, 0.000, 0.000), Li at (0.500, 0.500, 0.000), Mn at (0.000, 0.500, 0.500) and Cd at (0.500, 0.000, 0.500).

The formation energy comes out at 0.13 eV/atom. Its calculated volume is 17.3 Å³ per atom.

9.
A relaxed Zn8GaAu6 crystal, computed with PBE-GGA.

It has space group R-3 (No. 148, hexagonal axes), with a = 7.5291 Å, b = 7.5291 Å, c = 16.4818 Å, α = 90.00°, β = 90.00° and γ = 120.00°. Symmetry generates all atoms from Zn at (0.0000, 0.0000, 0.1672), Zn at (0.0006, 0.3372, 0.3800), Ga at (0.0000, 0.0000, 0.5000) and Au at (0.0003, 0.3332, 0.5560).

The formation energy comes out at -0.19 eV/atom. Its calculated volume is 18.0 Å³ per atom.

10.
A relaxed Cs3Ag crystal, computed with PBE-GGA.

It has space group I4/mmm (No. 139), with a = 6.479 Å, b = 6.479 Å, c = 12.719 Å, α = 90.00°, β = 90.00° and γ = 90.00°. Symmetry generates all atoms from Cs at (0.000, 0.000, 0.000), Cs at (0.000, 0.500, 0.250) and Ag at (0.000, 0.000, 0.500).

The formation energy comes out at 0.15 eV/atom. Its calculated volume is 66.7 Å³ per atom.

11.
A relaxed AgRuSe2 crystal, computed with PBE-GGA.

It has space group Pm (No. 6), with a = 3.308 Å, b = 3.815 Å, c = 7.053 Å, α = 90.00°, β = 103.10° and γ = 90.00°. Symmetry generates all atoms from Ag at (0.000, 0.000, 0.000), Ru at (0.602, 0.500, 0.210), Se at (0.429, 0.500, 0.854) and Se at (0.699, 0.000, 0.413).

The calculation puts the uncorrected formation energy at 16 kJ/mol of atoms. Its calculated volume is 21.7 Å³ per atom.

12.
A relaxed Pm2DyZn4 crystal, computed with PBE-GGA.

It has space group I4/mmm (No. 139), with a = 5.206 Å, b = 5.206 Å, c = 12.717 Å, α = 90.00°, β = 90.00° and γ = 90.00°. Symmetry generates all atoms from Pm at (0.000, 0.000, 0.222), Dy at (0.000, 0.000, 0.500) and Zn at (0.000, 0.500, 0.106).

The formation energy comes out at -0.16 eV/atom. Its calculated volume is 24.6 Å³ per atom.

Number 1: calculated density 4.8 g cm⁻³, magnetization 0.1 μB per formula unit. Number 2: calculated density 10.0 g cm⁻³, magnetization 1.8 μB per formula unit. Number 3: calculated density 7.4 g cm⁻³, magnetization 0.0 μB per formula unit. Number 4: calculated density 5.6 g cm⁻³, magnetization 1.0 μB per formula unit. Number 5: calculated density 13.9 g cm⁻³, magnetization 0.0 μB per formula unit. Number 6: calculated density 10.6 g cm⁻³, magnetization 1.5 μB per formula unit. Number 7: calculated density 12.0 g cm⁻³, magnetization 5.4 μB per formula unit. Number 8: calculated density 4.3 g cm⁻³, magnetization 3.6 μB per formula unit. Number 9: calculated density 10.9 g cm⁻³, magnetization 0.0 μB per formula unit. Number 10: calculated density 3.2 g cm⁻³, magnetization 0.0 μB per formula unit. Number 11: calculated density 7.0 g cm⁻³, magnetization 0.0 μB per formula unit. Number 12: calculated density 6.9 g cm⁻³, magnetization 0.0 μB per formula unit.